Entry 1:
VASP calculation (GGA-PBE) on a relaxed RbYCo2Cl8 crystal.

Size of the total moment   6.00 μB/f.u.
Total DFT energy (no corrections)   -4.382 eV per atom
Crystal system   monoclinic
SG   C2/m (12)

a b c (Å): 6.4697 6.4697 9.8294
angles (deg): 85.60 85.60 69.01
Closest atoms and distances in Å follow each position.
Fractional coordinates of all 12 atoms:
Rb  0.0000  0.0000  0.5000  6 Cl 3.44-3.48
Co  0.6197  0.6197  0.2107  4 Cl 2.18-2.30
Co  0.3803  0.3803  0.7893  4 Cl 2.18-2.30
Cl  0.2578  0.7601  0.7999  1 Co 2.30
Cl  0.3037  0.3037  0.5908  1 Co 2.18
Cl  0.6963  0.6963  0.4092  1 Co 2.18
Cl  0.2399  0.7422  0.2001  1 Co 2.30
Cl  0.2489  0.2489  0.9857  1 Co 2.28
Cl  0.7422  0.2399  0.2001  1 Co 2.30
Cl  0.7511  0.7511  0.0143  1 Co 2.28
Cl  0.7601  0.2578  0.7999  1 Co 2.30
Y  0.0000  0.0000  0.0000  6 Cl 2.64-2.68

Entry 2:
VASP calculation (GGA-PBE) on a relaxed NaOsSeBr2 crystal.

Size of the total moment   5.28 μB/f.u.
Total DFT energy (no corrections)   -2.656 eV per atom
Crystal system   tetragonal
Fermi-level density of states   5.33 states/eV per cell
SG   P4/mmm (123)
Excess energy over the best structure of this formula in the dataset   1321.0 meV/atom

a b c (Å): 5.0989 5.0989 5.4943
angles (deg): 90.00 90.00 90.00
Closest atoms and distances in Å follow each position.
Fractional coordinates of all 5 atoms:
Br  0.5000  0.0000  0.0000  2 Na 2.55
Br  0.0000  0.5000  0.0000  2 Na 2.55
Os  0.5000  0.5000  0.5000  4 Se 3.61, 8 Br 3.75
Na  0.0000  0.0000  0.0000  4 Br 2.55, 2 Se 2.75
Se  0.0000  0.0000  0.5000  2 Na 2.75

Entry 3:
VASP calculation (GGA-PBE) on a relaxed ZrCuMoAs2 crystal.

Size of the total moment   3.85 μB/f.u.
Total DFT energy (no corrections)   -5.488 eV per atom
Formation enthalpy at 0 K   1067 meV per atom
Crystal system   tetragonal
Fermi-level density of states   4.38 states/eV per cell
SG   P4/mmm (123)

a b c (Å): 5.0864 4.8702 5.0864
angles (deg): 90.00 90.00 90.00
Closest atoms and distances in Å follow each position.
Fractional coordinates of all 5 atoms:
Mo  0.5000  0.5000  0.5000  8 As 3.52, 4 Cu 3.60
As  0.5000  0.0000  0.0000  2 Zr 2.54
As  0.0000  0.0000  0.5000  2 Zr 2.54
Cu  0.0000  0.5000  0.0000  2 Zr 2.44
Zr  0.0000  0.0000  0.0000  2 Cu 2.44, 4 As 2.54